Record 1
Er2AgAu2 | GGA-PBE | optimized geometry

Results
**Size of the total moment**: 0.00 μB/f.u.
**Distance to the lowest polymorph of the same formula**: 0 meV/atom
**D(E_F)**: 6.46 states/eV/cell

Geometry as CIF:
```
data_Er2AgAu2
_cell_length_a 7.870
_cell_length_b 7.870
_cell_length_c 3.667
_cell_angle_alpha 90.00
_cell_angle_beta 90.00
_cell_angle_gamma 90.00
_symmetry_space_group_name_H-M 'P 4/m b m'
_symmetry_Int_Tables_number 127
_symmetry_space_group_name_Hall '-P 4 2ab'
loop_
_atom_site_label
_atom_site_type_symbol
_atom_site_fract_x
_atom_site_fract_y
_atom_site_fract_z
Er1 Er 0.168 0.332 0.000
Ag1 Ag 0.000 0.000 0.500
Au1 Au 0.131 0.631 0.500
```


Record 2
Er3AgAu | GGA-PBE | optimized geometry

Results
**Size of the total moment**: 0.00 μB/f.u.
**Distance to the lowest polymorph of the same formula**: 201 meV/atom
**D(E_F)**: 8.86 states/eV/cell

Geometry as CIF:
```
data_Er3AgAu
_cell_length_a 9.147
_cell_length_b 3.729
_cell_length_c 9.151
_cell_angle_alpha 90.00
_cell_angle_beta 117.16
_cell_angle_gamma 90.00
_symmetry_space_group_name_H-M 'P 1 m 1'
_symmetry_Int_Tables_number 6
_symmetry_space_group_name_Hall 'P -2y'
loop_
_atom_site_label
_atom_site_type_symbol
_atom_site_fract_x
_atom_site_fract_y
_atom_site_fract_z
Er1 Er 0.000 0.000 0.000
Er2 Er 0.049 0.500 0.570
Er3 Er 0.269 0.500 0.349
Er4 Er 0.431 0.500 0.951
Er5 Er 0.651 0.500 0.731
Er6 Er 0.701 0.000 0.300
Ag1 Ag 0.350 0.000 0.650
Ag2 Ag 0.850 0.500 0.149
Au1 Au 0.350 0.000 0.150
Au2 Au 0.850 0.000 0.650
```


Record 3
Er2AgAu2 | GGA-PBE | optimized geometry

Results
**Size of the total moment**: 0.00 μB/f.u.
**Distance to the lowest polymorph of the same formula**: 95 meV/atom
**D(E_F)**: 13.80 states/eV/cell

Geometry as CIF:
```
data_Er2AgAu2
_cell_length_a 10.376
_cell_length_b 5.786
_cell_length_c 7.832
_cell_angle_alpha 90.00
_cell_angle_beta 108.34
_cell_angle_gamma 90.00
_symmetry_space_group_name_H-M 'C 1 2/c 1'
_symmetry_Int_Tables_number 15
_symmetry_space_group_name_Hall '-C 2yc'
loop_
_atom_site_label
_atom_site_type_symbol
_atom_site_fract_x
_atom_site_fract_y
_atom_site_fract_z
Er1 Er 0.154 0.139 0.146
Ag1 Ag 0.000 0.263 0.750
Au1 Au 0.131 0.375 0.489
```


Record 4
ErAg2Au | GGA-PBE | optimized geometry

Results
**Size of the total moment**: 0.00 μB/f.u.
**Distance to the lowest polymorph of the same formula**: 0 meV/atom
**D(E_F)**: 3.65 states/eV/cell

Geometry as CIF:
```
data_ErAg2Au
_cell_length_a 4.277
_cell_length_b 4.277
_cell_length_c 8.731
_cell_angle_alpha 90.00
_cell_angle_beta 90.00
_cell_angle_gamma 90.00
_symmetry_space_group_name_H-M 'I 4/m m m'
_symmetry_Int_Tables_number 139
_symmetry_space_group_name_Hall '-I 4 2'
loop_
_atom_site_label
_atom_site_type_symbol
_atom_site_fract_x
_atom_site_fract_y
_atom_site_fract_z
Er1 Er 0.000 0.000 0.000
Ag1 Ag 0.000 0.500 0.250
Au1 Au 0.000 0.000 0.500
```


Record 5
ErAgAu3 | GGA-PBE | optimized geometry

Results
**Uncorrected energy**: -38.7 eV/cell
**Size of the total moment**: 0.00 μB/f.u.
**D(E_F)**: 3.68 states/eV/cell

Geometry as CIF:
```
data_ErAgAu3
_cell_length_a 4.791
_cell_length_b 6.722
_cell_length_c 6.889
_cell_angle_alpha 90.00
_cell_angle_beta 110.08
_cell_angle_gamma 90.00
_symmetry_space_group_name_H-M 'P 1 21/m 1'
_symmetry_Int_Tables_number 11
_symmetry_space_group_name_Hall '-P 2yb'
loop_
_atom_site_label
_atom_site_type_symbol
_atom_site_fract_x
_atom_site_fract_y
_atom_site_fract_z
Er1 Er 0.128 0.250 0.258
Ag1 Ag 0.135 0.750 0.273
Au1 Au 0.320 0.003 0.639
Au2 Au 0.497 0.250 0.993
```


Record 6
Er3Ag2Au | GGA-PBE | optimized geometry

Results
**Size of the total moment**: 0.00 μB/f.u.
**Distance to the lowest polymorph of the same formula**: 2 meV/atom
**D(E_F)**: 2.42 states/eV/cell

Geometry as CIF:
```
data_Er3Ag2Au
_cell_length_a 3.575
_cell_length_b 3.575
_cell_length_c 10.863
_cell_angle_alpha 90.00
_cell_angle_beta 90.00
_cell_angle_gamma 90.00
_symmetry_space_group_name_H-M 'P 4/m m m'
_symmetry_Int_Tables_number 123
_symmetry_space_group_name_Hall '-P 4 2'
loop_
_atom_site_label
_atom_site_type_symbol
_atom_site_fract_x
_atom_site_fract_y
_atom_site_fract_z
Er1 Er 0.000 0.000 0.000
Er2 Er 0.000 0.000 0.338
Ag1 Ag 0.500 0.500 0.166
Au1 Au 0.500 0.500 0.500
```


> The lowest D(E_F) belongs to which entry?

Er3Ag2Au